i:
Compound: Pr2ErTm6
Source: Alexandria via LeMat-Bulk
Functional: PBE-GGA
Structure: relaxed

abc: 12.742 14.157 6.521
angles: 90.00 103.44 90.00
Space group C2/c (No. 15)
One atom of each set of equivalent atoms:
Pr  0.144  0.027  0.376 x8
Er  0.000  0.383  0.250 x4
Tm  0.035  0.190  0.003 x8
Tm  0.131  0.410  0.813 x8
Tm  0.241  0.201  0.733 x8

Summary:
Crystal system ... monoclinic
Calculated density ... 8492 kg/m3
Size of the total moment ... 0.000 μB per cell

ii:
Compound: Pr2ErTm6
Source: Alexandria via LeMat-Bulk
Functional: PBE-GGA
Structure: relaxed

abc: 13.323 11.657 9.024
angles: 90.00 125.64 90.00
Space group C2/c (No. 15)
One atom of each set of equivalent atoms:
Pr  0.192  0.092  0.435 x8
Er  0.000  0.328  0.250 x4
Tm  0.034  0.132  0.960 x8
Tm  0.097  0.409  0.684 x8
Tm  0.226  0.336  0.140 x8

Summary:
Crystal system ... monoclinic
Calculated density ... 8531 kg/m3
Size of the total moment ... 0.000 μB per cell

Most stable one: ii, least stable one: i.

i:
Compound: Pr2Er6Tm3
Source: Alexandria via LeMat-Bulk
Functional: PBE-GGA
Structure: relaxed

abc: 4.707 4.707 33.042
angles: 90.00 90.00 90.00
Space group I4/mmm (No. 139)
One atom of each set of equivalent atoms:
Pr  0.000  0.000  0.047 x4
Er  0.000  0.000  0.196 x4
Er  0.000  0.500  0.123 x8
Tm  0.000  0.000  0.299 x4
Tm  0.000  0.000  0.500 x2

Summary:
Crystal system ... tetragonal
Calculated density ... 8129 kg/m3
Size of the total moment ... 0.000 μB per cell

ii:
Compound: Pr2Er6Tm3
Source: Alexandria via LeMat-Bulk
Functional: PBE-GGA
Structure: relaxed

abc: 6.058 10.505 11.655
angles: 90.00 100.06 90.00
Space group C2/m (No. 12)
One atom of each set of equivalent atoms:
Pr  0.000  0.167  0.000 x4
Er  0.248  0.167  0.744 x8
Er  0.249  0.500  0.745 x4
Tm  0.000  0.000  0.500 x2
Tm  0.000  0.335  0.500 x4

Summary:
Crystal system ... monoclinic
Calculated density ... 8150 kg/m3
Size of the total moment ... 0.004 μB per cell

Most stable one: ii, least stable one: i.